NiSb2TeF: relaxed, GGA+U.

Unit cell a=4.893 b=4.893 c=4.962 alpha=90.00 beta=90.00 gamma=90.00
Fractional coordinates of all 5 atoms:
Ni1 0.000 0.000 0.000
Sb1 0.000 0.500 0.000
Sb2 0.500 0.000 0.000
Te1 0.000 0.000 0.500
F1 0.500 0.500 0.500

D(E_F)   3.06 states/eV/f.u.
Final energy   -14.8 eV per cell
Distance to the lowest polymorph of the same formula   0 meV per atom
Total magnetization   0.00 μB per cell
Space-group type   P4/mmm